# 1
Below is GaOsW after structural relaxation, with properties calculated at the GGA-PBE level.

Calculated values
Magnetic moment in μB per formula unit: 0.00
Relative energy among the computed polymorphs in kJ/mol of formula units: 0
V in Å³/atom: 17.66

a = 4.216 Å, b = 4.216 Å, c = 4.216 Å
α = 60.00°, β = 60.00°, γ = 60.00°
Element x y z (fractional)
Ga 0.250 0.250 0.250
Os 0.000 0.000 0.000
W 0.750 0.750 0.750

# 2
Below is Cu7Ag3 after structural relaxation, with properties calculated at the GGA-PBE level.

Calculated values
Formation enthalpy at 0 K in eV per atom: 0.090
Relative energy among the computed polymorphs in kJ/mol of formula units: 43
V in Å³/atom: 13.75

a = 4.598 Å, b = 2.730 Å, c = 10.997 Å
α = 90.00°, β = 94.95°, γ = 90.00°
Element x y z (fractional)
Ag 0.238 0.500 0.093
Ag 0.000 0.500 0.500
Ag 0.762 0.500 0.907
Cu 0.739 0.000 0.124
Cu 0.121 0.000 0.300
Cu 0.606 0.500 0.307
Cu 0.500 0.000 0.500
Cu 0.394 0.500 0.693
Cu 0.879 0.000 0.700
Cu 0.261 0.000 0.876

# 3
Below is La3Zn2Ge4Pd2 after structural relaxation, with properties calculated at the GGA-PBE level.

Calculated values
Magnetic moment in μB per formula unit: 0.00
V in Å³/atom: 21.67

a = 13.344 Å, b = 13.344 Å, c = 13.344 Å
α = 161.99°, β = 161.06°, γ = 26.25°
Element x y z (fractional)
Ge 0.308 0.308 0.000
Ge 0.692 0.692 0.000
Ge 0.952 0.452 0.500
Ge 0.048 0.548 0.500
La 0.146 0.146 0.000
La 0.854 0.854 0.000
La 0.500 0.000 0.500
Pd 0.405 0.405 0.000
Pd 0.595 0.595 0.000
Zn 0.751 0.251 0.500
Zn 0.249 0.749 0.500

Electronic total energy
In order: -26.62; -33.59; -54.91
Unit: eV for the cell shown